Record 1
A geometry-optimized TmRhPb2O6 structure, computed with PBE-GGA.

Geometry as CIF:
```
data_TmRhPb2O6
_symmetry_space_group_name_H-M 'P 1 21/c 1'
_symmetry_Int_Tables_number 14
_cell_length_a 5.758
_cell_length_b 5.830
_cell_length_c 10.008
_cell_angle_alpha 90.00
_cell_angle_beta 125.06
_cell_angle_gamma 90.00
loop_
_symmetry_equiv_pos_as_xyz
'x,y,z'
'-x,-y,-z'
'-x,y+1/2,-z+1/2'
'x,-y+1/2,z+1/2'
loop_
_atom_site_label
_atom_site_type_symbol
_atom_site_fract_x
_atom_site_fract_y
_atom_site_fract_z
_atom_site_occupancy
Tm1 Tm 0.000 0.000 0.000 1
Rh1 Rh 0.500 0.000 0.500 1
Pb1 Pb 0.260 0.039 0.751 1
O1 O 0.173 0.027 0.264 1
O2 O 0.271 0.696 0.049 1
O3 O 0.356 0.218 0.045 1
```

Values from the calculation:
Fermi-level density of states	10.38	states/eV per cell
energy relative to the elements, uncorrected	-1560.2	meV per atom
crystal system	monoclinic

---

Record 2
A geometry-optimized URhPbO6 structure, computed with PBE-GGA.

Geometry as CIF:
```
data_URhPbO6
_symmetry_space_group_name_H-M 'P -3 1 c'
_symmetry_Int_Tables_number 163
_symmetry_space_group_name_Hall '-P 3 2c'
_cell_length_a 5.4220
_cell_length_b 5.4220
_cell_length_c 10.9076
_cell_angle_alpha 90.00
_cell_angle_beta 90.00
_cell_angle_gamma 120.00
loop_
_atom_site_label
_atom_site_type_symbol
_atom_site_fract_x
_atom_site_fract_y
_atom_site_fract_z
_atom_site_occupancy
U1 U 0.3333 0.6667 0.2500 1
Rh1 Rh 0.3333 0.6667 0.7500 1
Pb1 Pb 0.0000 0.0000 0.0000 1
O1 O 0.0093 0.3682 0.6469 1
```

Values from the calculation:
Fermi-level density of states	12.92	states/eV per cell
energy relative to the elements, uncorrected	-1853.0	meV per atom
crystal system	trigonal

---

Number 1: total energy -129.18 eV for the cell shown. Number 2: total energy -137.55 eV for the cell shown.